# 1
VASP calculation (GGA-PBE) on a relaxed structure of Rb3TlCu2Cl6.

Cell lengths 7.8079, 7.8079, 8.8179 Å; angles 90.00, 90.00, 120.00 degrees
Last column: nearest neighbours and their distance in Å.
Atoms (fractional coordinates):
Rb 0.0000 0.0000 0.0000  6 Cl 3.26
Rb 0.3333 0.6667 0.6830  1 Cu 3.77, 6 Cl 3.93
Rb 0.6667 0.3333 0.3170  1 Cu 3.77, 6 Cl 3.93
Tl 0.0000 0.0000 0.5000  6 Cl 3.11
Cu 0.3333 0.6667 0.2554  3 Cl 2.21
Cu 0.6667 0.3333 0.7446  3 Cl 2.21
Cl 0.1698 0.3397 0.2630  1 Cu 2.21
Cl 0.1698 0.8302 0.2630  1 Cu 2.21
Cl 0.3397 0.1698 0.7370  1 Cu 2.21
Cl 0.6603 0.8302 0.2630  1 Cu 2.21
Cl 0.8302 0.1698 0.7370  1 Cu 2.21
Cl 0.8302 0.6603 0.7370  1 Cu 2.21

Results
The value obtained for the size of the total moment is 0.20 μB per cell. Its electronic total energy is -0.1199 Ha/atom. The formation energy without anion corrections comes out at -1217 meV/atom. As for the symmetry: P-3m1. The value obtained for the calculated volume is 38.8 Å³/atom.



# 2
VASP calculation (GGA-PBE) on a relaxed structure of Zr2ScCo.

Cell lengths 7.6130, 7.6130, 5.7493 Å; angles 90.00, 90.00, 90.00 degrees
Last column: nearest neighbours and their distance in Å.
Atoms (fractional coordinates):
Zr 0.1853 0.7500 0.1250  2 Co 2.48
Zr 0.2500 0.1853 0.8750  2 Co 2.48
Zr 0.2500 0.3147 0.3750  2 Co 2.48
Zr 0.3147 0.7500 0.6250  2 Co 2.48
Zr 0.6853 0.2500 0.6250  2 Co 2.48
Zr 0.7500 0.6853 0.3750  2 Co 2.48
Zr 0.7500 0.8147 0.8750  2 Co 2.48
Zr 0.8147 0.2500 0.1250  2 Co 2.48
Sc 0.0000 0.0000 0.5000  2 Co 2.87, 8 Zr 3.14-3.20
Sc 0.0000 0.5000 0.7500  2 Co 2.87, 8 Zr 3.14-3.20
Sc 0.5000 0.0000 0.2500  2 Co 2.87, 8 Zr 3.14-3.20
Sc 0.5000 0.5000 0.0000  2 Co 2.87, 8 Zr 3.14-3.20
Co 0.0000 0.0000 0.0000  4 Zr 2.48
Co 0.0000 0.5000 0.2500  4 Zr 2.48
Co 0.5000 0.0000 0.7500  4 Zr 2.48
Co 0.5000 0.5000 0.5000  4 Zr 2.48

Results
The value obtained for the size of the total moment is 0.00 μB per cell. Its electronic total energy is -0.2786 Ha/atom. The formation energy comes out at 52.6 meV/atom. As for the symmetry: I-42d. The value obtained for the calculated volume is 20.8 Å³/atom.



# 3
VASP calculation (GGA-PBE) on a relaxed structure of AcNdPdPb.

Cell lengths 7.8164, 7.8164, 7.8164 Å; angles 90.00, 90.00, 90.00 degrees
Last column: nearest neighbours and their distance in Å.
Atoms (fractional coordinates):
Ac 0.0000 0.0000 0.0000  4 Pd 3.38, 4 Pb 3.38
Ac 0.0000 0.5000 0.5000  4 Pd 3.38, 4 Pb 3.38
Ac 0.5000 0.0000 0.5000  4 Pd 3.38, 4 Pb 3.38
Ac 0.5000 0.5000 0.0000  4 Pd 3.38, 4 Pb 3.38
Nd 0.0000 0.0000 0.5000  4 Pb 3.38, 4 Pd 3.38
Nd 0.0000 0.5000 0.0000  4 Pb 3.38, 4 Pd 3.38
Nd 0.5000 0.0000 0.0000  4 Pb 3.38, 4 Pd 3.38
Nd 0.5000 0.5000 0.5000  4 Pb 3.38, 4 Pd 3.38
Pd 0.2500 0.2500 0.2500  4 Nd 3.38, 4 Ac 3.38
Pd 0.2500 0.7500 0.7500  4 Ac 3.38, 4 Nd 3.38
Pd 0.7500 0.2500 0.7500  4 Ac 3.38, 4 Nd 3.38
Pd 0.7500 0.7500 0.2500  4 Ac 3.38, 4 Nd 3.38
Pb 0.2500 0.2500 0.7500  4 Ac 3.38, 4 Nd 3.38
Pb 0.2500 0.7500 0.2500  4 Ac 3.38, 4 Nd 3.38
Pb 0.7500 0.2500 0.2500  4 Ac 3.38, 4 Nd 3.38
Pb 0.7500 0.7500 0.7500  4 Ac 3.38, 4 Nd 3.38

Results
The value obtained for the size of the total moment is 0.01 μB per cell. Its electronic total energy is -0.1832 Ha/atom. The formation energy comes out at -541.9 meV/atom. As for the symmetry: F-43m. The value obtained for the calculated volume is 29.8 Å³/atom.



# 4
VASP calculation (GGA-PBE) on a relaxed structure of In3AgMo.

Cell lengths 5.2426, 5.2426, 5.2426 Å; angles 90.00, 90.00, 90.00 degrees
Last column: nearest neighbours and their distance in Å.
Atoms (fractional coordinates):
In 0.0000 0.0000 0.5000  2 Ag 2.62
In 0.0000 0.5000 0.0000  2 Ag 2.62
In 0.5000 0.0000 0.0000  2 Ag 2.62
Ag 0.0000 0.0000 0.0000  6 In 2.62
Mo 0.5000 0.5000 0.5000  12 In 3.71

Results
The value obtained for the size of the total moment is 4.07 μB per cell. Its electronic total energy is -0.1222 Ha/atom. The formation energy comes out at 1054.3 meV/atom. As for the symmetry: Pm-3m. The value obtained for the calculated volume is 28.8 Å³/atom.



# 5
VASP calculation (GGA-PBE) on a relaxed structure of Ac5OsN.

Cell lengths 7.4066, 7.4066, 11.4278 Å; angles 109.88, 109.88, 79.92 degrees
Last column: nearest neighbours and their distance in Å.
Atoms (fractional coordinates):
Ac 0.1420 0.6664 0.3483  1 N 2.57
Ac 0.1797 0.2744 0.9720  1 N 2.70, 1 Os 2.85
Ac 0.2207 0.7793 0.7500  1 N 2.60
Ac 0.2744 0.1797 0.4720  1 N 2.70, 1 Os 2.85
Ac 0.3336 0.8580 0.1517  1 N 2.57
Ac 0.6664 0.1420 0.8483  1 N 2.57
Ac 0.7256 0.8203 0.5280  1 N 2.70, 1 Os 2.85
Ac 0.7793 0.2207 0.2500  1 N 2.60
Ac 0.8203 0.7256 0.0280  1 N 2.70, 1 Os 2.85
Ac 0.8580 0.3336 0.6517  1 N 2.57
Os 0.0000 0.5000 0.5000  6 Ac 2.85-3.02
Os 0.5000 0.0000 0.0000  6 Ac 2.85-3.02
N 0.0528 0.9472 0.2500  5 Ac 2.57-2.70
N 0.9472 0.0528 0.7500  5 Ac 2.57-2.70

Results
The value obtained for the size of the total moment is 0.00 μB per cell. Its electronic total energy is -0.2167 Ha/atom. The formation energy without anion corrections comes out at -168 meV/atom. As for the symmetry: C2/c. The value obtained for the calculated volume is 39.5 Å³/atom.



# 6
VASP calculation (GGA-PBE) on a relaxed structure of BeHgPt3.

Cell lengths 7.7290, 7.7290, 7.7290 Å; angles 40.65, 40.65, 40.65 degrees
Last column: nearest neighbours and their distance in Å.
Atoms (fractional coordinates):
Be 0.1336 0.1336 0.1336  6 Pt 2.37-2.44
Be 0.8664 0.8664 0.8664  6 Pt 2.37-2.44
Hg 0.3332 0.3332 0.3332  6 Pt 2.85-2.87, 3 Hg 3.10
Hg 0.6668 0.6668 0.6668  6 Pt 2.85-2.87, 3 Hg 3.10
Pt 0.1094 0.5458 0.6805  2 Be 2.37-2.44
Pt 0.3195 0.8906 0.4542  2 Be 2.37-2.44
Pt 0.4542 0.3195 0.8906  2 Be 2.37-2.44
Pt 0.5458 0.6805 0.1094  2 Be 2.37-2.44
Pt 0.6805 0.1094 0.5458  2 Be 2.37-2.44
Pt 0.8906 0.4542 0.3195  2 Be 2.37-2.44

Results
The value obtained for the size of the total moment is 0.00 μB per cell. Its electronic total energy is -0.1679 Ha/atom. The formation energy comes out at -139.4 meV/atom. As for the symmetry: R-3. The value obtained for the calculated volume is 17.7 Å³/atom.



# 7
VASP calculation (GGA-PBE) on a relaxed structure of Pa2TlB.

Cell lengths 3.3844, 3.3844, 29.5481 Å; angles 90.00, 90.00, 120.00 degrees
Last column: nearest neighbours and their distance in Å.
Atoms (fractional coordinates):
Pa 0.0000 0.0000 0.1148  3 B 2.48
Pa 0.0000 0.0000 0.8852  3 B 2.48
Pa 0.3333 0.6667 0.5518  3 B 2.48
Pa 0.3333 0.6667 0.7815  3 B 2.48
Pa 0.6667 0.3333 0.2185  3 B 2.48
Pa 0.6667 0.3333 0.4482  3 B 2.48
Tl 0.0000 0.0000 0.0000  6 Tl 3.38, 2 Pa 3.39
Tl 0.3333 0.6667 0.6667  6 Tl 3.38, 2 Pa 3.39
Tl 0.6667 0.3333 0.3333  6 Tl 3.38, 2 Pa 3.39
B 0.0000 0.0000 0.5000  6 Pa 2.48
B 0.3333 0.6667 0.1667  6 Pa 2.48
B 0.6667 0.3333 0.8333  6 Pa 2.48

Results
The value obtained for the size of the total moment is 2.21 μB per cell. Its electronic total energy is -0.2530 Ha/atom. The formation energy comes out at 125.1 meV/atom. As for the symmetry: R-3m. The value obtained for the calculated volume is 24.4 Å³/atom.



# 8
VASP calculation (GGA-PBE) on a relaxed structure of IrC3Cl.

Cell lengths 4.0303, 4.0303, 4.0303 Å; angles 90.00, 90.00, 90.00 degrees
Last column: nearest neighbours and their distance in Å.
Atoms (fractional coordinates):
Ir 0.0000 0.0000 0.0000  6 C 2.02
C 0.0000 0.0000 0.5000  2 Ir 2.02
C 0.0000 0.5000 0.0000  2 Ir 2.02
C 0.5000 0.0000 0.0000  2 Ir 2.02
Cl 0.5000 0.5000 0.5000  12 C 2.85

Results
The value obtained for the size of the total moment is 1.90 μB per cell. Its electronic total energy is -0.2059 Ha/atom. The formation energy without anion corrections comes out at 2074 meV/atom. As for the symmetry: Pm-3m. The value obtained for the calculated volume is 13.1 Å³/atom.



# 9
VASP calculation (GGA-PBE) on a relaxed structure of BaYPt2Se.

Cell lengths 5.2727, 5.2727, 5.5037 Å; angles 90.00, 90.00, 90.00 degrees
Last column: nearest neighbours and their distance in Å.
Atoms (fractional coordinates):
Ba 0.0000 0.0000 0.0000  4 Se 3.73, 8 Pt 3.81
Y 0.5000 0.5000 0.5000  4 Pt 2.64, 2 Se 2.75
Pt 0.0000 0.5000 0.5000  2 Y 2.64
Pt 0.5000 0.0000 0.5000  2 Y 2.64
Se 0.5000 0.5000 0.0000  2 Y 2.75

Results
The value obtained for the size of the total moment is 0.00 μB per cell. Its electronic total energy is -0.1993 Ha/atom. The formation energy without anion corrections comes out at -632 meV/atom. As for the symmetry: P4/mmm. The value obtained for the calculated volume is 30.6 Å³/atom.



# 10
VASP calculation (GGA-PBE) on a relaxed structure of LuHgSb.

Cell lengths 4.1338, 4.1338, 9.2285 Å; angles 90.00, 90.00, 90.00 degrees
Last column: nearest neighbours and their distance in Å.
Atoms (fractional coordinates):
Lu 0.0000 0.0000 0.0000  1 Hg 2.97, 5 Sb 3.22-3.27
Lu 0.5000 0.5000 0.5000  1 Hg 2.97, 5 Sb 3.22-3.27
Hg 0.0000 0.0000 0.3223  1 Lu 2.97, 1 Sb 2.99
Hg 0.5000 0.5000 0.8223  1 Lu 2.97, 1 Sb 2.99
Sb 0.0000 0.0000 0.6461  5 Hg 2.99-3.35, 5 Lu 3.22-3.27
Sb 0.5000 0.5000 0.1461  5 Hg 2.99-3.35, 5 Lu 3.22-3.27

Results
The value obtained for the size of the total moment is 0.00 μB per cell. Its electronic total energy is -0.1241 Ha/atom. The formation energy without anion corrections comes out at -396 meV/atom. As for the symmetry: I4mm. The value obtained for the calculated volume is 26.3 Å³/atom.



# 11
VASP calculation (GGA-PBE) on a relaxed structure of MnCd2FeSb.

Cell lengths 5.0382, 5.0382, 4.7118 Å; angles 90.00, 90.00, 90.00 degrees
Last column: nearest neighbours and their distance in Å.
Atoms (fractional coordinates):
Mn 0.0000 0.0000 0.0000  8 Cd 3.45, 4 Sb 3.56
Cd 0.0000 0.5000 0.5000  2 Fe 2.52
Cd 0.5000 0.0000 0.5000  2 Fe 2.52
Fe 0.5000 0.5000 0.5000  2 Sb 2.36, 4 Cd 2.52
Sb 0.5000 0.5000 0.0000  2 Fe 2.36

Results
The value obtained for the size of the total moment is 5.95 μB per cell. Its electronic total energy is -0.1500 Ha/atom. The formation energy without anion corrections comes out at 634 meV/atom. As for the symmetry: P4/mmm. The value obtained for the calculated volume is 23.9 Å³/atom.



# 12
VASP calculation (GGA-PBE) on a relaxed structure of Tl2SbP.

Cell lengths 3.7047, 6.0421, 9.9164 Å; angles 90.00, 90.00, 90.00 degrees
Last column: nearest neighbours and their distance in Å.
Atoms (fractional coordinates):
Tl 0.0000 0.0000 0.0000  8 Tl 3.44-3.70, 2 Sb 3.45
Tl 0.0000 0.5000 0.2926  2 P 2.95
Tl 0.5000 0.0000 0.2926  2 P 2.95
Tl 0.5000 0.5000 0.0000  8 Tl 3.44-3.70, 2 Sb 3.45
Sb 0.0000 0.5000 0.7065  2 P 2.59
Sb 0.5000 0.0000 0.7065  2 P 2.59
P 0.0000 0.0000 0.5244  2 Sb 2.59
P 0.5000 0.5000 0.5244  2 Sb 2.59

Results
The value obtained for the size of the total moment is 0.00 μB per cell. Its electronic total energy is -0.1216 Ha/atom. The formation energy without anion corrections comes out at 258 meV/atom. As for the symmetry: Cmm2. The value obtained for the calculated volume is 27.7 Å³/atom.